Entry from the Alexandria database: an optimized crystal structure of ScCoSN2 (PBE-GGA).

Magnetic moment (μB per cell): 5.135
DOS(E_F) (states/eV per atom): 0.948
Theoretical density (g/cm3): 3.22
Polymorph energy (0 for the lowest one) (eV per atom): 0.855
Space group: No. 123
Raw formation energy (meV per atom): 983

Cell lengths 4.052, 4.052, 5.152 Å; angles 90.00, 90.00, 90.00 degrees
Last column: magnetic moment on the atom in μB.
Fractional coordinates of all 5 atoms:
S (0.000, 0.000, 0.500)  0.28
Sc (0.000, 0.000, 0.000)  0.03
Co (0.500, 0.500, 0.500)  2.42
N (0.500, 0.000, 0.000)  0.79
N (0.000, 0.500, 0.000)  0.79